# 1
First-principles (PBE-GGA) data for a relaxed structure of SrGa2TeS6, as listed in the Alexandria database.

a b c (Å): 7.8173 8.6195 8.6195
angles (deg): 72.47 70.05 70.05
Sites, in units of the cell vectors:
Sr (0.2500, 0.8027, 0.1973)
Sr (0.7500, 0.1973, 0.8027)
Ga (0.3282, 0.7972, 0.6374)
Ga (0.1718, 0.3626, 0.2028)
Ga (0.6718, 0.2028, 0.3626)
Ga (0.8282, 0.6374, 0.7972)
Te (0.2500, 0.2515, 0.7485)
Te (0.7500, 0.7485, 0.2515)
S (0.1504, 0.9916, 0.8144)
S (0.3496, 0.1856, 0.0084)
S (0.8496, 0.0084, 0.1856)
S (0.6504, 0.8144, 0.9916)
S (0.4128, 0.9385, 0.3654)
S (0.0872, 0.6346, 0.0615)
S (0.5872, 0.0615, 0.6346)
S (0.9128, 0.3654, 0.9385)
S (0.0944, 0.7036, 0.6004)
S (0.4056, 0.3996, 0.2964)
S (0.9056, 0.2964, 0.3996)
S (0.5944, 0.6004, 0.7036)

Computed properties:
Energy relative to the elements, uncorrected   -0.666 eV/atom
SG   C2/c
VASP energy   -4.231 eV per atom

---

# 2
First-principles (PBE-GGA) data for a relaxed structure of SrTmGaS4, as listed in the Alexandria database.

a b c (Å): 6.5008 6.7032 8.0148
angles (deg): 90.00 106.93 90.00
Sites, in units of the cell vectors:
Sr (0.7554, 0.7500, 0.9417)
Sr (0.2446, 0.2500, 0.0583)
Tm (0.7809, 0.7500, 0.4464)
Tm (0.2191, 0.2500, 0.5536)
Ga (0.2428, 0.7500, 0.3245)
Ga (0.7572, 0.2500, 0.6755)
S (0.0028, 0.5051, 0.7246)
S (0.9972, 0.0051, 0.2754)
S (0.9972, 0.4949, 0.2754)
S (0.0028, 0.9949, 0.7246)
S (0.4465, 0.7500, 0.1412)
S (0.5535, 0.2500, 0.8588)
S (0.4618, 0.7500, 0.5975)
S (0.5382, 0.2500, 0.4025)

Computed properties:
Energy relative to the elements, uncorrected   -1.555 eV/atom
SG   P2_1/m
VASP energy   -5.225 eV per atom

---

# 3
First-principles (PBE-GGA) data for a relaxed structure of Sr2UGaS6, as listed in the Alexandria database.

a b c (Å): 7.0371 7.0371 6.9662
angles (deg): 59.66 59.66 60.00
Sites, in units of the cell vectors:
Sr (0.5458, 0.5458, 0.3626)
Sr (0.0536, 0.0536, 0.8392)
U (0.8181, 0.8181, 0.5457)
Ga (0.3160, 0.3160, 0.0519)
S (0.5703, 0.1549, 0.2798)
S (0.1549, 0.9951, 0.2798)
S (0.9951, 0.5703, 0.2798)
S (0.4852, 0.6403, 0.7922)
S (0.6403, 0.0823, 0.7922)
S (0.0823, 0.4852, 0.7922)

Computed properties:
Energy relative to the elements, uncorrected   -1.396 eV/atom
SG   R3
VASP energy   -5.641 eV per atom

---

# 4
First-principles (PBE-GGA) data for a relaxed structure of Sr2YGaS5, as listed in the Alexandria database.

a b c (Å): 3.9554 9.1797 12.3886
angles (deg): 90.00 90.00 102.44
Sites, in units of the cell vectors:
Sr (0.8747, 0.7494, 0.8236)
Sr (0.1164, 0.2327, 0.6815)
Sr (0.1253, 0.2506, 0.3236)
Sr (0.8836, 0.7673, 0.1815)
Y (0.7922, 0.5844, 0.5265)
Y (0.2078, 0.4156, 0.0265)
Ga (0.5568, 0.1135, 0.9317)
Ga (0.4432, 0.8865, 0.4317)
S (0.3545, 0.7091, 0.0057)
S (0.6815, 0.3629, 0.8713)
S (0.4981, 0.9962, 0.7726)
S (0.2931, 0.5863, 0.6745)
S (0.9547, 0.9095, 0.5367)
S (0.6455, 0.2909, 0.5057)
S (0.3185, 0.6371, 0.3713)
S (0.5019, 0.0038, 0.2726)
S (0.7069, 0.4137, 0.1745)
S (0.0453, 0.0905, 0.0367)

Computed properties:
Energy relative to the elements, uncorrected   -1.746 eV/atom
SG   Cmc2_1
VASP energy   -5.467 eV per atom

---

# 5
First-principles (PBE-GGA) data for a relaxed structure of TaGaS2, as listed in the Alexandria database.

a b c (Å): 7.9170 7.9170 7.9170
angles (deg): 24.58 24.58 24.58
Sites, in units of the cell vectors:
S (0.8966, 0.8966, 0.8966)
S (0.1034, 0.1034, 0.1034)
Ga (0.5000, 0.5000, 0.5000)
Ta (0.0000, 0.0000, 0.0000)

Computed properties:
Energy relative to the elements, uncorrected   -0.079 eV/atom
SG   R-3m
VASP energy   -5.863 eV per atom

---

# 6
First-principles (PBE-GGA) data for a relaxed structure of TaGaS2, as listed in the Alexandria database.

a b c (Å): 6.3890 6.3890 6.8928
angles (deg): 62.39 62.39 90.00
Sites, in units of the cell vectors:
S (0.6945, 0.1250, 0.2500)
S (0.0555, 0.6250, 0.2500)
S (0.3750, 0.3055, 0.7500)
S (0.8750, 0.9445, 0.7500)
Ga (0.5000, 0.5000, 0.0000)
Ga (0.2500, 0.7500, 0.5000)
Ta (0.0000, 0.0000, 0.0000)
Ta (0.7500, 0.2500, 0.5000)

Computed properties:
Energy relative to the elements, uncorrected   -0.202 eV/atom
SG   I-42d
VASP energy   -5.985 eV per atom

---

# 7
First-principles (PBE-GGA) data for a relaxed structure of TaGaS4, as listed in the Alexandria database.

a b c (Å): 5.7524 5.7524 6.4489
angles (deg): 116.49 116.49 90.00
Sites, in units of the cell vectors:
Ta (0.5000, 0.5000, 0.0000)
Ga (0.7500, 0.2500, 0.5000)
S (0.3995, 0.8737, 0.2476)
S (0.8482, 0.3740, 0.2476)
S (0.1263, 0.1518, 0.7524)
S (0.6260, 0.6005, 0.7524)

Computed properties:
Energy relative to the elements, uncorrected   -0.692 eV/atom
SG   I-4
VASP energy   -5.923 eV per atom

---

# 8
First-principles (PBE-GGA) data for a relaxed structure of TaGa2S6, as listed in the Alexandria database.

a b c (Å): 6.6417 8.0714 8.0714
angles (deg): 88.39 80.63 80.63
Sites, in units of the cell vectors:
Ta (0.2500, 0.1117, 0.8883)
Ta (0.7500, 0.8883, 0.1117)
Ga (0.1755, 0.6109, 0.7623)
Ga (0.3245, 0.2377, 0.3891)
Ga (0.8245, 0.3891, 0.2377)
Ga (0.6755, 0.7623, 0.6109)
S (0.3982, 0.6715, 0.5291)
S (0.1018, 0.4709, 0.3285)
S (0.6018, 0.3285, 0.4709)
S (0.8982, 0.5291, 0.6715)
S (0.8157, 0.9108, 0.3817)
S (0.6843, 0.6183, 0.0892)
S (0.1843, 0.0892, 0.6183)
S (0.3157, 0.3817, 0.9108)
S (0.1053, 0.8277, 0.9531)
S (0.3947, 0.0469, 0.1723)
S (0.8947, 0.1723, 0.0469)
S (0.6053, 0.9531, 0.8277)

Computed properties:
Energy relative to the elements, uncorrected   -0.569 eV/atom
SG   C2/c
VASP energy   -5.311 eV per atom

---

# 9
First-principles (PBE-GGA) data for a relaxed structure of Ta6GaS, as listed in the Alexandria database.

a b c (Å): 5.9028 5.9039 6.0267
angles (deg): 60.68 60.68 60.00
Sites, in units of the cell vectors:
Ta (0.0073, 0.4678, 0.7564)
Ta (0.7685, 0.0072, 0.7563)
Ta (0.5322, 0.2315, 0.2437)
Ta (0.2315, 0.9928, 0.2437)
Ta (0.9927, 0.5322, 0.2436)
Ta (0.4678, 0.7685, 0.7563)
Ga (0.5000, 0.5000, 0.5000)
S (0.0000, 0.0000, 0.0000)

Computed properties:
Energy relative to the elements, uncorrected   0.179 eV/atom
SG   R-3
VASP energy   -9.605 eV per atom

---

# 10
First-principles (PBE-GGA) data for a relaxed structure of Ta3GaS, as listed in the Alexandria database.

a b c (Å): 4.5472 4.5472 4.5472
angles (deg): 90.00 90.00 90.00
Sites, in units of the cell vectors:
S (0.0000, 0.0000, 0.0000)
Ga (0.5000, 0.5000, 0.5000)
Ta (0.0000, 0.5000, 0.0000)
Ta (0.0000, 0.0000, 0.5000)
Ta (0.5000, 0.0000, 0.0000)

Computed properties:
Energy relative to the elements, uncorrected   0.376 eV/atom
SG   Pm-3m
Distance to the lowest polymorph of the same formula   0.000 eV/atom
VASP energy   -8.167 eV per atom

---

# 11
First-principles (PBE-GGA) data for a relaxed structure of TaGaS2, as listed in the Alexandria database.

a b c (Å): 3.2966 3.2966 8.7265
angles (deg): 79.11 79.11 60.00
Sites, in units of the cell vectors:
Ta (0.6656, 0.6656, 0.0032)
Ga (0.5034, 0.5034, 0.4897)
S (0.0613, 0.0613, 0.8161)
S (0.2696, 0.2696, 0.1911)

Computed properties:
Energy relative to the elements, uncorrected   -0.680 eV/atom
SG   R3m
VASP energy   -6.463 eV per atom

---

# 12
First-principles (PBE-GGA) data for a relaxed structure of TaGaS2, as listed in the Alexandria database.

a b c (Å): 9.0233 9.0233 9.0233
angles (deg): 21.05 21.05 21.05
Sites, in units of the cell vectors:
S (0.8932, 0.8932, 0.8932)
S (0.1068, 0.1068, 0.1068)
Ga (0.0000, 0.0000, 0.0000)
Ta (0.5000, 0.5000, 0.5000)

Computed properties:
Energy relative to the elements, uncorrected   -0.704 eV/atom
SG   R-3m
VASP energy   -6.487 eV per atom

---

# 13
First-principles (PBE-GGA) data for a relaxed structure of Ta4GaS8, as listed in the Alexandria database.

a b c (Å): 6.7443 6.7443 8.2955
angles (deg): 90.00 113.99 120.00
Sites, in units of the cell vectors:
Ta (0.0000, 0.0000, 0.0000)
Ta (0.0000, 0.5000, 0.0000)
Ta (0.5000, 0.5000, 0.0000)
Ta (0.5000, 0.0000, 0.0000)
Ga (0.0000, 0.5000, 0.5000)
S (0.4737, 0.7368, 0.2105)
S (0.5263, 0.2632, 0.7895)
S (0.4748, 0.2374, 0.2120)
S (0.0254, 0.2628, 0.7880)
S (0.5252, 0.7626, 0.7880)
S (0.0254, 0.7626, 0.7880)
S (0.9746, 0.2374, 0.2120)
S (0.9746, 0.7372, 0.2120)

Computed properties:
Energy relative to the elements, uncorrected   -0.934 eV/atom
SG   R-3m
Distance to the lowest polymorph of the same formula   0.045 eV/atom
VASP energy   -7.354 eV per atom

---

# 14
First-principles (PBE-GGA) data for a relaxed structure of Ta4GaS8, as listed in the Alexandria database.

a b c (Å): 7.0944 7.0944 7.0944
angles (deg): 60.00 60.00 60.00
Sites, in units of the cell vectors:
Ta (0.9348, 0.3550, 0.3550)
Ta (0.3551, 0.9348, 0.3550)
Ta (0.3551, 0.3550, 0.9348)
Ta (0.3551, 0.3550, 0.3550)
Ga (0.7500, 0.7500, 0.7500)
S (0.6478, 0.1174, 0.1174)
S (0.1174, 0.6478, 0.1174)
S (0.1174, 0.1174, 0.6478)
S (0.1174, 0.1174, 0.1174)
S (0.1523, 0.6159, 0.6159)
S (0.6159, 0.1523, 0.6159)
S (0.6159, 0.6159, 0.1523)
S (0.6159, 0.6159, 0.6159)

Computed properties:
Energy relative to the elements, uncorrected   -0.979 eV/atom
SG   F-43m
Distance to the lowest polymorph of the same formula   0.000 eV/atom
VASP energy   -7.399 eV per atom

---

# 15
First-principles (PBE-GGA) data for a relaxed structure of TaZnGa2S, as listed in the Alexandria database.

a b c (Å): 4.7351 4.7351 4.3979
angles (deg): 90.00 90.00 90.00
Sites, in units of the cell vectors:
Zn (0.0000, 0.0000, 0.5000)
S (0.0000, 0.0000, 0.0000)
Ga (0.0000, 0.5000, 0.0000)
Ga (0.5000, 0.0000, 0.0000)
Ta (0.5000, 0.5000, 0.5000)

Computed properties:
Energy relative to the elements, uncorrected   0.892 eV/atom
SG   P4/mmm
VASP energy   -3.770 eV per atom

---

# 16
First-principles (PBE-GGA) data for a relaxed structure of Tb3GaS2, as listed in the Alexandria database.

a b c (Å): 3.9120 5.6917 7.0795
angles (deg): 113.70 106.05 90.00
Sites, in units of the cell vectors:
Tb (0.5000, 0.5000, 0.0000)
Tb (0.1740, 0.1738, 0.3476)
Tb (0.8260, 0.8262, 0.6524)
Ga (0.5000, 0.0000, 0.0000)
S (0.1662, 0.6660, 0.3319)
S (0.8338, 0.3340, 0.6681)

Computed properties:
Energy relative to the elements, uncorrected   -1.559 eV/atom
SG   Immm
VASP energy   -5.754 eV per atom

---

# 17
First-principles (PBE-GGA) data for a relaxed structure of Tb2GaS, as listed in the Alexandria database.

a b c (Å): 3.7984 3.7984 7.9844
angles (deg): 76.24 76.24 60.00
Sites, in units of the cell vectors:
Tb (0.0723, 0.0723, 0.7830)
Tb (0.2604, 0.2604, 0.2189)
Ga (0.4994, 0.4994, 0.5019)
S (0.6679, 0.6679, 0.9962)

Computed properties:
Energy relative to the elements, uncorrected   -1.180 eV/atom
SG   R3m
Distance to the lowest polymorph of the same formula   0.162 eV/atom
VASP energy   -5.284 eV per atom

---

# 18
First-principles (PBE-GGA) data for a relaxed structure of Tb2GaS, as listed in the Alexandria database.

a b c (Å): 3.9774 4.1577 11.2430
angles (deg): 100.66 90.00 90.00
Sites, in units of the cell vectors:
Tb (0.7500, 0.6838, 0.3675)
Tb (0.2500, 0.3162, 0.6325)
Tb (0.7500, 0.9308, 0.8616)
Tb (0.2500, 0.0692, 0.1384)
Ga (0.2500, 0.4604, 0.9208)
Ga (0.7500, 0.5396, 0.0792)
S (0.2500, 0.1924, 0.3849)
S (0.7500, 0.8076, 0.6151)

Computed properties:
Energy relative to the elements, uncorrected   -1.342 eV/atom
SG   Cmcm
Distance to the lowest polymorph of the same formula   0.000 eV/atom
VASP energy   -5.446 eV per atom

---

# 19
First-principles (PBE-GGA) data for a relaxed structure of Tb8GaS6, as listed in the Alexandria database.

a b c (Å): 3.9432 10.2196 10.2196
angles (deg): 120.00 90.00 90.00
Sites, in units of the cell vectors:
Tb (0.7480, 0.9662, 0.2967)
Tb (0.7480, 0.7033, 0.6695)
Tb (0.7480, 0.3305, 0.0338)
Tb (0.2520, 0.0338, 0.7033)
Tb (0.2520, 0.2967, 0.3305)
Tb (0.2520, 0.6695, 0.9662)
Tb (0.7489, 0.3333, 0.6667)
Tb (0.2511, 0.6667, 0.3333)
Ga (0.5000, 0.0000, 0.0000)
S (0.7498, 0.6520, 0.1354)
S (0.7498, 0.8646, 0.5166)
S (0.7498, 0.4834, 0.3480)
S (0.2502, 0.3480, 0.8646)
S (0.2502, 0.1354, 0.4834)
S (0.2502, 0.5166, 0.6520)

Computed properties:
Energy relative to the elements, uncorrected   -1.516 eV/atom
SG   P-3
VASP energy   -5.838 eV per atom

---

# 20
First-principles (PBE-GGA) data for a relaxed structure of Tb7GaS5, as listed in the Alexandria database.

a b c (Å): 3.9185 6.7923 23.4534
angles (deg): 89.99 90.00 106.85
Sites, in units of the cell vectors:
Tb (0.4738, 0.9474, 0.2500)
Tb (0.5268, 0.0537, 0.7500)
Tb (0.6376, 0.2747, 0.0359)
Tb (0.3631, 0.7266, 0.9641)
Tb (0.3630, 0.7264, 0.5359)
Tb (0.6375, 0.2746, 0.4641)
Tb (0.1828, 0.3659, 0.1761)
Tb (0.8178, 0.6353, 0.8239)
Tb (0.8177, 0.6351, 0.6761)
Tb (0.1829, 0.3660, 0.3239)
Tb (0.9084, 0.8176, 0.1110)
Tb (0.0923, 0.1836, 0.8890)
Tb (0.0921, 0.1834, 0.6109)
Tb (0.9084, 0.8176, 0.3891)
Ga (0.8050, 0.6079, 0.2500)
Ga (0.1955, 0.3933, 0.7501)
S (0.0003, 0.0006, 0.0000)
S (0.7264, 0.4527, 0.9289)
S (0.2742, 0.5486, 0.0711)
S (0.5477, 0.0956, 0.3590)
S (0.4528, 0.9054, 0.6410)
S (0.0002, 0.0005, 0.5000)
S (0.2742, 0.5485, 0.4289)
S (0.7263, 0.4525, 0.5711)
S (0.4529, 0.9057, 0.8590)
S (0.5477, 0.0956, 0.1410)

Computed properties:
Energy relative to the elements, uncorrected   -1.664 eV/atom
SG   P2_1/m
VASP energy   -5.978 eV per atom